[1]
VASP calculation (PBE-GGA) on a relaxed structure of TaNi2Sn2.

For the calculated formation energy, the calculation gives 0.02 eV per atom. The magnetic moment is 0.00 μB per formula unit. The value obtained for the final energy is -6.26 eV/atom.

Cell: 7.192 7.192 3.186 Å, 90.00 90.00 90.00°
Space group P4/mbm (No. 127)
One atom of each set of equivalent atoms:
Ta 0.000 0.000 0.000 x2
Ni 0.123 0.377 0.000 x4
Sn 0.174 0.674 0.500 x4

***

[2]
VASP calculation (PBE-GGA) on a relaxed structure of Cs4NaBr5.

The formation energy (no corrections) is -1.71 eV/atom. The magnetic moment is 0.00 μB per formula unit. The value obtained for the final energy is -3.02 eV/atom.

Cell: 11.205 11.205 7.352 Å, 90.00 90.00 90.00°
Space group I4 (No. 79)
One atom of each set of equivalent atoms:
Cs 0.094 0.701 0.000 x8
Na 0.000 0.000 0.546 x2
Br 0.000 0.000 0.942 x2
Br 0.089 0.731 0.498 x8

***

[3]
VASP calculation (PBE-GGA) on a relaxed structure of Ac6TbNd2.

For the calculated formation energy, the calculation gives 0.04 eV per atom. The magnetic moment is 0.00 μB per formula unit. The value obtained for the final energy is -4.28 eV/atom.

Cell: 11.579 11.579 5.541 Å, 90.00 90.00 90.00°
Space group P4_2/mnm (No. 136)
One atom of each set of equivalent atoms:
Ac 0.002 0.328 0.000 x8
Ac 0.158 0.842 0.500 x4
Tb 0.000 0.000 0.000 x2
Nd 0.168 0.168 0.500 x4

***

[4]
VASP calculation (PBE-GGA) on a relaxed structure of CaMg2Br.

The formation energy (no corrections) is -0.22 eV/atom. The magnetic moment is 0.00 μB per formula unit. The value obtained for the final energy is -1.93 eV/atom.

Cell: 7.752 7.752 7.752 Å, 90.00 90.00 90.00°
Space group F-43m (No. 216)
One atom of each set of equivalent atoms:
Ca 0.000 0.000 0.000 x4
Mg 0.000 0.000 0.500 x4
Mg 0.250 0.250 0.250 x4
Br 0.250 0.250 0.750 x4

***

[5]
VASP calculation (PBE-GGA) on a relaxed structure of BaMg6Hg12.

For the calculated formation energy, the calculation gives -0.08 eV per atom. The magnetic moment is 0.00 μB per formula unit. The value obtained for the final energy is -0.88 eV/atom.

Cell: 10.063 10.063 10.063 Å, 90.00 90.00 90.00°
Space group Im-3 (No. 204)
One atom of each set of equivalent atoms:
Ba 0.000 0.000 0.000 x2
Mg 0.000 0.352 0.500 x12
Hg 0.000 0.178 0.284 x24

***

[6]
VASP calculation (PBE-GGA) on a relaxed structure of U2B7Rh12.

For the calculated formation energy, the calculation gives -0.41 eV per atom. The magnetic moment is 0.11 μB per formula unit. The value obtained for the final energy is -7.91 eV/atom.

Cell: 9.0593 9.0593 3.7079 Å, 90.00 90.00 120.00°
Space group P-3 (No. 147)
One atom of each set of equivalent atoms:
U 0.3333 0.6667 0.2478 x2
B 0.0000 0.0000 0.0000 x1
B 0.1064 0.3921 0.7457 x6
Rh 0.0756 0.6212 0.7473 x6
Rh 0.1159 0.8569 0.2442 x6